Entry 1:
Here is a PBEsol-optimized structure of Mg3MnW from Alexandria via LeMat-Bulk. Energies are from SCAN.

Formation enthalpy at 0 K   1.485 eV/atom
Crystal system   cubic
Space group   Pm-3m (221)
Size of the total moment   6.590 μB/f.u.

The structure in extended XYZ format:
```
5
Lattice="-4.0713 -2.3750 -0.1060 1.5109 -2.4227 -3.7517 1.8355 -3.2737 2.8533" Properties=species:S:1:pos:R:3 pbc="T T T"
Mg 0.7555 -1.2113 -1.8758
Mg 0.9178 -1.6369 1.4266
Mg -2.0356 -1.1875 -0.0530
Mn 0.0000 0.0000 0.0000
W -0.3624 -4.0357 -0.5022
```

=====

Entry 2:
Here is a PBEsol-optimized structure of SrTlBi2P from Alexandria via LeMat-Bulk. Energies are from SCAN.

Formation enthalpy at 0 K   -0.078 eV/atom
Crystal system   tetragonal
Space group   P4/mmm (123)
Size of the total moment   0.000 μB/f.u.

The structure in extended XYZ format:
```
5
Lattice="5.4656 0.0000 0.0000 0.0000 5.4656 0.0000 0.0000 0.0000 5.5470" Properties=species:S:1:pos:R:3 pbc="T T T"
Sr 0.0000 0.0000 2.7735
Tl 2.7328 2.7328 2.7735
Bi 0.0000 2.7328 0.0000
Bi 2.7328 0.0000 0.0000
P 0.0000 0.0000 0.0000
```

=====

Entry 3:
Here is a PBEsol-optimized structure of ZnP2OF from Alexandria via LeMat-Bulk. Energies are from SCAN.

ΔE_f (raw)   0.551 eV per atom
Crystal system   tetragonal
Space group   P4/mmm (123)
Size of the total moment   0.000 μB/f.u.

The structure in extended XYZ format:
```
5
Lattice="-3.5754 0.8440 -0.0473 -0.5254 -1.9969 4.0859 0.9129 3.9830 2.0641" Properties=species:S:1:pos:R:3 pbc="T T T"
P 0.4565 1.9915 1.0320
P -0.2627 -0.9985 2.0429
Zn 0.0000 0.0000 0.0000
O -1.7877 0.4220 -0.0236
F -1.5940 1.4150 3.0513
```

=====

Entry 4:
Here is a PBEsol-optimized structure of CuNi2Rh from Alexandria via LeMat-Bulk. Energies are from SCAN.

Formation enthalpy at 0 K   0.060 eV/atom
Crystal system   trigonal
Space group   R3m (160)
Size of the total moment   2.095 μB/f.u.

The structure in extended XYZ format:
```
4
Lattice="2.5606 0.0000 0.0000 1.2803 2.2176 0.0000 1.2803 0.7392 8.1664" Properties=species:S:1:pos:R:3 pbc="T T T"
Ni 1.2803 0.7392 8.1354
Ni 3.8409 2.2176 6.1976
Rh 2.5606 1.4784 4.1225
Cu 1.2803 0.7392 1.9605
```